No. 1
Entry from the Alexandria database: a relaxed Sm2Tl2Rh3 crystal (PBE). Values from VASP.

Cell and atoms, written as Quantum ESPRESSO input:
```
&SYSTEM
  ibrav = 0, nat = 14, ntyp = 3
/
ATOMIC_SPECIES
Sm 150.36 Sm.upf
Tl 204.38 Tl.upf
Rh 102.91 Rh.upf
ATOMIC_POSITIONS crystal
Sm 0.0000 0.4634 0.5000
Sm 0.0366 0.0366 0.0366
Sm 0.4634 0.5000 0.0000
Sm 0.5000 0.0000 0.4634
Tl 0.0000 0.8808 0.5000
Tl 0.5000 0.0000 0.8808
Tl 0.6192 0.6192 0.6192
Tl 0.8808 0.5000 0.0000
Rh 0.0039 0.2539 0.7500
Rh 0.2461 0.2500 0.4961
Rh 0.2500 0.4961 0.2461
Rh 0.2539 0.7500 0.0039
Rh 0.4961 0.2461 0.2500
Rh 0.7500 0.0039 0.2539
CELL_PARAMETERS angstrom
-4.3028 4.3028 4.3028
4.3028 -4.3028 4.3028
4.3028 4.3028 -4.3028
```

Summary:
SG: I2_13, No. 199



No. 2
Entry from the Alexandria database: a relaxed TcMoPbW2 crystal (PBE). Values from VASP.

Cell and atoms, written as Quantum ESPRESSO input:
```
&SYSTEM
  ibrav = 0, nat = 5, ntyp = 4
/
ATOMIC_SPECIES
Tc 98.00 Tc.upf
Mo 95.94 Mo.upf
Pb 207.20 Pb.upf
W 183.84 W.upf
ATOMIC_POSITIONS crystal
Tc 0.0000 0.0000 0.0000
Mo 0.0000 0.0000 0.5000
Pb 0.5000 0.5000 0.0000
W 0.0000 0.5000 0.5000
W 0.5000 0.0000 0.5000
CELL_PARAMETERS angstrom
4.8217 0.0000 0.0000
0.0000 4.8217 0.0000
0.0000 0.0000 4.7407
```

Summary:
SG: P4/mmm, No. 123



Number 1: energy relative to the elements -2.779 eV per formula unit, V 318.65 Å³ per cell. Number 2: energy relative to the elements 9.341 eV per formula unit, V 110.22 Å³ per cell.